A plane-wave DFT calculation with PBE was carried out for an optimized crystal structure of Ac4La3TbSe8.

Properties
E   -5.88 eV per atom
Formation energy from raw total energies   -1.895 eV per atom

Lattice parameters (Å, degrees): 8.7131 8.7446 8.7127 119.88 120.00 90.00
Positions (direct):
Se: 0.2534 0.2603 0.5069
Se: 0.2402 0.7336 0.9933
Ac: 0.0000 0.0000 0.0000
La: 0.5000 0.5000 0.5000
Se: 0.2402 0.7335 0.4804
Ac: 0.0000 0.0000 0.5000
Ac: 0.5000 0.0000 0.0000
Se: 0.7531 0.7336 0.9933
Se: 0.7598 0.2665 0.5196
Tb: 0.0000 0.5000 0.0000
Ac: 0.5000 0.0000 0.5000
Se: 0.2469 0.2664 0.0067
Se: 0.7598 0.2664 0.0067
Se: 0.7466 0.7397 0.4931
La: 0.5000 0.5000 0.0000
La: 0.0000 0.5000 0.5000

A plane-wave DFT calculation with PBE was carried out for an optimized crystal structure of IrAu3.

Properties
E   -4.37 eV per atom
ΔE_f   0.301 eV/atom

Lattice parameters (Å, degrees): 5.0501 5.0501 11.7050 150.31 150.31 32.69
Site moments in Bohr magnetons follow the coordinates.
Positions (direct):
Au: 0.0126 0.0126 0.0067  0.02
Au: 0.0000 0.0000 0.7500  0.02
Ir: 0.0000 0.0000 0.2500  0.53
Au: 0.9874 0.9874 0.4933  0.02

A plane-wave DFT calculation with PBE was carried out for an optimized crystal structure of Mg3RuF.

Properties
E   -3.11 eV per atom
Polymorph energy (0 for the lowest one)   840 meV/atom
Formation energy from raw total energies   0.080 eV per atom

Lattice parameters (Å, degrees): 4.9228 4.9228 4.9228 90.00 90.00 90.00
Positions (direct):
Mg: 0.0000 0.0000 0.5000
Ru: 0.0000 0.0000 0.0000
Mg: 0.0000 0.5000 0.0000
F: 0.5000 0.5000 0.5000
Mg: 0.5000 0.0000 0.0000

A plane-wave DFT calculation with PBE was carried out for an optimized crystal structure of KYAu2.

Properties
E   -4.11 eV per atom
ΔE_f   -0.580 eV/atom
Polymorph energy (0 for the lowest one)   0 meV/atom

Lattice parameters (Å, degrees): 3.7034 3.7061 8.8935 65.39 90.00 90.00
Positions (direct):
Au: 0.0000 0.0628 0.9377
Y: 0.5000 0.7500 0.7500
Au: 0.0000 0.4372 0.5623
K: 0.5000 0.2500 0.2500

A plane-wave DFT calculation with PBE was carried out for an optimized crystal structure of Dy4Pd5Pt.

Properties
E   -5.96 eV per atom
ΔE_f   -0.923 eV/atom

Lattice parameters (Å, degrees): 4.8771 5.8224 7.8212 105.91 108.17 90.00
Positions (direct):
Dy: 0.0864 0.8264 0.1727
Pd: 0.1111 0.3601 0.2221
Pd: 0.8889 0.6399 0.7779
Pt: 0.5000 0.0000 0.0000
Pd: 0.5000 0.5000 0.0000
Dy: 0.9136 0.1736 0.8273
Pd: 0.7131 0.8172 0.4262
Dy: 0.3111 0.7042 0.6222
Dy: 0.6889 0.2958 0.3778
Pd: 0.2869 0.1828 0.5738

A plane-wave DFT calculation with PBE was carried out for an optimized crystal structure of Ca2Cu3As4Au.

Properties
E   -4.29 eV per atom
ΔE_f   -0.476 eV/atom

Lattice parameters (Å, degrees): 4.2992 4.2992 10.3116 90.00 90.00 90.00
Positions (direct):
As: 0.5000 0.0000 0.6451
As: 0.0000 0.0000 0.0000
Au: 0.5000 0.5000 0.5000
As: 0.5000 0.5000 0.0000
Cu: 0.0000 0.0000 0.5000
As: 0.0000 0.5000 0.3549
Ca: 0.0000 0.5000 0.7501
Cu: 0.0000 0.5000 0.1249
Ca: 0.5000 0.0000 0.2499
Cu: 0.5000 0.0000 0.8751

A plane-wave DFT calculation with PBE was carried out for an optimized crystal structure of CaBiI2O.

Properties
E   -3.42 eV per atom
Polymorph energy (0 for the lowest one)   0 meV/atom
Formation energy from raw total energies   -0.635 eV per atom

Lattice parameters (Å, degrees): 6.1641 6.1641 4.1183 90.00 90.00 90.00
Positions (direct):
I: 0.0000 0.5000 0.0000
Bi: 0.5000 0.5000 0.5000
I: 0.5000 0.0000 0.0000
Ca: 0.0000 0.0000 0.0000
O: 0.0000 0.0000 0.5000

A plane-wave DFT calculation with PBE was carried out for an optimized crystal structure of Tm2ZrTc.

Properties
E   -6.41 eV per atom
ΔE_f   0.556 eV/atom

Lattice parameters (Å, degrees): 3.1904 3.1904 10.7690 81.48 81.48 60.00
Site moments in Bohr magnetons follow the coordinates.
Positions (direct):
Tm: 0.9181 0.9181 0.2458  -0.03
Tm: 0.0819 0.0819 0.7542  -0.03
Zr: 0.5000 0.5000 0.5000  -0.01
Tc: 0.0000 0.0000 0.0000  0.78

A plane-wave DFT calculation with PBE was carried out for an optimized crystal structure of KMgCo.

Properties
E   -2.66 eV per atom
ΔE_f   0.608 eV/atom
Polymorph energy (0 for the lowest one)   0 meV/atom

Lattice parameters (Å, degrees): 6.6958 6.6958 6.6958 154.41 144.06 44.64
Site moments in Bohr magnetons follow the coordinates.
Positions (direct):
K: 0.3384 0.3384 0.0000  -0.01
Co: 0.0524 0.0524 0.0000  1.35
Mg: 0.6092 0.6092 0.0000  -0.02

A plane-wave DFT calculation with PBE was carried out for an optimized crystal structure of Ta2TiOs2.

Properties
E   -11.00 eV per atom
ΔE_f   -0.188 eV/atom
Polymorph energy (0 for the lowest one)   0 meV/atom

Lattice parameters (Å, degrees): 3.0438 3.0023 9.2510 80.66 90.00 90.00
Positions (direct):
Ta: 0.0000 0.1809 0.6383
Ti: 0.0000 0.0000 0.0000
Ta: 0.0000 0.8191 0.3617
Os: 0.5000 0.4137 0.1726
Os: 0.5000 0.5863 0.8274

A plane-wave DFT calculation with PBE was carried out for an optimized crystal structure of Pa2SI7.

Properties
E   -4.24 eV per atom
Formation energy from raw total energies   -0.848 eV per atom

Lattice parameters (Å, degrees): 4.2029 9.3194 12.1698 79.13 80.78 77.83
Site moments in Bohr magnetons follow the coordinates.
Positions (direct):
Pa: 0.4344 0.9958 0.1456  0.18
I: 0.3783 0.2972 0.9634  -0.01
I: 0.6217 0.7028 0.0366  -0.01
I: 0.0632 0.1698 0.6936  -0.01
I: 0.5000 0.5000 0.5000  0.09
Pa: 0.5656 0.0042 0.8544  0.18
S: 0.0000 0.0000 0.0000  -0.01
I: 0.2591 0.2161 0.2944  -0.01
I: 0.7409 0.7839 0.7056  -0.01
I: 0.9368 0.8302 0.3064  -0.01

A plane-wave DFT calculation with PBE was carried out for an optimized crystal structure of RbNa2TiB.

Properties
E   -2.08 eV per atom
ΔE_f   1.554 eV/atom

Lattice parameters (Å, degrees): 5.3633 5.8570 5.3633 90.00 90.00 90.00
Site moments in Bohr magnetons follow the coordinates.
Positions (direct):
Na: 0.5000 0.0000 0.0000  0.00
Rb: 0.0000 0.5000 0.0000  0.00
Ti: 0.5000 0.5000 0.5000  -0.07
Na: 0.0000 0.0000 0.5000  0.01
B: 0.0000 0.0000 0.0000  0.21

A plane-wave DFT calculation with PBE was carried out for an optimized crystal structure of MoAs2Se.

Properties
E   -5.44 eV per atom
Formation energy from raw total energies   0.468 eV per atom

Lattice parameters (Å, degrees): 3.2034 4.5195 4.8318 90.00 90.00 90.00
Site moments in Bohr magnetons follow the coordinates.
Positions (direct):
As: 0.0000 0.0000 0.0000  -0.01
As: 0.5000 0.5000 0.0000  -0.01
Se: 0.0000 0.5000 0.5000  -0.01
Mo: 0.5000 0.0000 0.5000  0.57

A plane-wave DFT calculation with PBE was carried out for an optimized crystal structure of AcZr2Zn.

Properties
E   -5.25 eV per atom
ΔE_f   0.374 eV/atom
Polymorph energy (0 for the lowest one)   315 meV/atom

Lattice parameters (Å, degrees): 3.3470 3.3470 11.0033 81.25 81.25 60.00
Positions (direct):
Zr: 0.1020 0.1020 0.6939
Zr: 0.8980 0.8980 0.3061
Zn: 0.5000 0.5000 0.5000
Ac: 0.0000 0.0000 0.0000

A plane-wave DFT calculation with PBE was carried out for an optimized crystal structure of NiPt6Rh8.

Properties
E   -6.44 eV per atom
ΔE_f   0.281 eV/atom
Polymorph energy (0 for the lowest one)   13 meV/atom

Lattice parameters (Å, degrees): 7.2132 7.2132 6.8228 58.09 58.09 60.00
Positions (direct):
Rh: 0.2007 0.8863 0.3817
Rh: 0.2844 0.2844 0.1469
Rh: 0.5313 0.2007 0.3817
Pt: 0.3598 0.0855 0.8654
Pt: 0.3107 0.6402 0.1346
Rh: 0.8863 0.5313 0.3817
Pt: 0.6402 0.9145 0.1346
Rh: 0.7993 0.1137 0.6183
Rh: 0.7156 0.7156 0.8531
Rh: 0.1137 0.4687 0.6183
Ni: 0.0000 0.0000 0.0000
Pt: 0.9145 0.3107 0.1346
Rh: 0.4687 0.7993 0.6183
Pt: 0.0855 0.6893 0.8654
Pt: 0.6893 0.3598 0.8654

A plane-wave DFT calculation with PBE was carried out for an optimized crystal structure of Tb4PuS6.

Properties
E   -7.21 eV per atom
Formation energy from raw total energies   -1.972 eV per atom

Lattice parameters (Å, degrees): 3.8966 6.7741 19.8213 90.00 90.00 106.71
Site moments in Bohr magnetons follow the coordinates.
Positions (direct):
Tb: 0.1383 0.2766 0.4583  -0.01
S: 0.9537 0.9074 0.6669  -0.04
Tb: 0.8617 0.7234 0.5417  -0.01
S: 0.0463 0.0926 0.3331  -0.04
Tb: 0.4080 0.8161 0.1297  0.03
Tb: 0.5920 0.1839 0.8703  0.03
Pu: 0.3444 0.6889 0.7500  5.36
S: 0.7701 0.5402 0.0885  0.00
S: 0.9537 0.9074 0.8331  -0.04
Tb: 0.8617 0.7234 0.9583  -0.01
Tb: 0.1383 0.2766 0.0417  -0.01
S: 0.7701 0.5402 0.4115  0.00
S: 0.5000 0.0000 0.5000  0.00
S: 0.0463 0.0926 0.1669  -0.04
S: 0.3103 0.6205 0.2500  -0.04
Tb: 0.5920 0.1839 0.6297  0.03
S: 0.6897 0.3795 0.7500  -0.04
S: 0.2299 0.4598 0.5885  0.00
S: 0.2299 0.4598 0.9115  0.00
S: 0.5000 0.0000 0.0000  0.00
Tb: 0.4080 0.8161 0.3703  0.03
Pu: 0.6556 0.3111 0.2500  5.36

A plane-wave DFT calculation with PBE was carried out for an optimized crystal structure of ScTi2Mn2.

Properties
E   -8.06 eV per atom
ΔE_f   0.037 eV/atom
Polymorph energy (0 for the lowest one)   46 meV/atom

Lattice parameters (Å, degrees): 7.4486 7.4486 2.8952 90.00 90.00 90.00
Site moments in Bohr magnetons follow the coordinates.
Positions (direct):
Ti: 0.6415 0.1415 0.0000  -0.56
Mn: 0.8521 0.3521 0.5000  2.26
Ti: 0.1415 0.3585 0.0000  -0.56
Mn: 0.6479 0.8521 0.5000  2.27
Mn: 0.1479 0.6479 0.5000  2.26
Ti: 0.8585 0.6415 0.0000  -0.56
Mn: 0.3521 0.1479 0.5000  2.27
Ti: 0.3585 0.8585 0.0000  -0.56
Sc: 0.5000 0.5000 0.0000  -0.27
Sc: 0.0000 0.0000 0.0000  -0.27